# 1
Compound: Li4Pm3Pd4
Source: Alexandria via LeMat-Bulk
Functional: GGA-PBE
Structure: optimized geometry

Geometry as extended XYZ:
```
11
Lattice="6.552 0.000 0.000 -2.184 6.177 0.000 -2.184 -3.088 5.349" Properties=species:S:1:pos:R:3 pbc="T T T"
Li -0.527 1.490 0.000
Li -0.527 -0.745 1.291
Li 1.581 0.000 0.000
Li 1.657 2.343 4.059
Pm 2.184 3.088 0.000
Pm 2.184 -1.544 2.675
Pm -2.184 1.544 2.675
Pd -1.308 3.698 0.000
Pd 3.923 0.000 0.000
Pd -1.308 -1.849 3.203
Pd 0.876 1.239 2.147
```

Results
- DFT formation energy: -0.401 eV per atom
- DFT total energy: -4.281 eV/atom
- Energy relative to the lowest polymorph listed for this composition: 12.51 kJ/mol of atoms
- Total moment: 0.0 μB per cell

=====

# 2
Compound: CsTaSb2Te
Source: Alexandria via LeMat-Bulk
Functional: GGA-PBE
Structure: optimized geometry

Geometry as extended XYZ:
```
5
Lattice="5.958 0.000 0.000 0.000 5.958 0.000 0.000 0.000 5.953" Properties=species:S:1:pos:R:3 pbc="T T T"
Cs 0.000 0.000 0.000
Sb 0.000 2.979 0.000
Sb 2.979 0.000 0.000
Te 0.000 0.000 2.977
Ta 2.979 2.979 2.977
```

Results
- DFT total energy: -2.415 eV/atom
- Uncorrected formation energy: 2.403 eV/atom
- Energy relative to the lowest polymorph listed for this composition: 239.21 kJ/mol of atoms
- Total moment: 0.2 μB per cell

=====

- The lowest energy relative to the lowest polymorph listed for this composition belongs to which entry?
  Li4Pm3Pd4

=====

- Look up the energy relative to the lowest polymorph listed for this composition of the second one.
  239.21 kJ/mol of atoms

=====

- Look up the DFT total energy of the first one.
  -4.281 eV/atom